No. 1
Entry from the Open Quantum Materials Database: HoZrAl2Au4 after structural relaxation (GGA-PBE).

abc: 4.522 4.522 8.823
angles: 90.00 90.00 120.00
Fractional positions:
Ho 0.000 0.000 0.000
Zr 0.333 0.667 0.500
Al 0.667 0.333 0.300
Al 0.667 0.333 0.700
Au 0.000 0.000 0.337
Au 0.000 0.000 0.663
Au 0.333 0.667 0.166
Au 0.333 0.667 0.834

Computed properties:
DFT total energy (eV per cell): -39.02


No. 2
Entry from the Open Quantum Materials Database: AlAu6I after structural relaxation (GGA-PBE).

abc: 6.430 6.430 6.430
angles: 60.00 60.00 60.00
Fractional positions:
Al 0.000 0.000 0.000
Au 0.275 0.275 0.725
Au 0.275 0.725 0.275
Au 0.275 0.725 0.725
Au 0.725 0.275 0.275
Au 0.725 0.275 0.725
Au 0.725 0.725 0.275
I 0.250 0.250 0.250

Computed properties:
DFT total energy (eV per cell): -22.44


No. 3
Entry from the Open Quantum Materials Database: AlIn3Au2 after structural relaxation (GGA-PBE).

abc: 4.606 4.606 6.514
angles: 90.00 90.00 90.00
Fractional positions:
Al 0.000 0.000 0.000
In 0.000 0.000 0.500
In 0.500 0.500 0.000
In 0.500 0.500 0.500
Au 0.000 0.500 0.231
Au 0.500 0.000 0.769

Computed properties:
DFT total energy (eV per cell): -19.86


No. 4
Entry from the Open Quantum Materials Database: Al3InAu2 after structural relaxation (GGA-PBE).

abc: 4.388 4.388 6.210
angles: 90.00 90.00 90.00
Fractional positions:
Al 0.000 0.000 0.000
Al 0.000 0.000 0.500
Al 0.500 0.500 0.000
In 0.500 0.500 0.500
Au 0.000 0.500 0.770
Au 0.500 0.000 0.230

Computed properties:
DFT total energy (eV per cell): -22.46


No. 5
Entry from the Open Quantum Materials Database: Al2InAu2 after structural relaxation (GGA-PBE).

abc: 6.642 6.642 6.642
angles: 144.26 144.26 51.45
Fractional positions:
Al 0.250 0.750 0.500
Al 0.750 0.250 0.500
In 0.000 0.000 0.000
Au 0.383 0.383 0.000
Au 0.617 0.617 0.000

Computed properties:
DFT total energy (eV per cell): -18.03


No. 6
Entry from the Open Quantum Materials Database: Li2AlInAu4 after structural relaxation (GGA-PBE).

abc: 4.464 4.464 6.748
angles: 90.00 90.00 90.00
Fractional positions:
Li 0.000 0.000 0.000
Li 0.500 0.500 0.500
Al 0.000 0.000 0.500
In 0.500 0.500 0.000
Au 0.000 0.500 0.276
Au 0.000 0.500 0.728
Au 0.500 0.000 0.272
Au 0.500 0.000 0.724

Computed properties:
DFT total energy (eV per cell): -27.32


No. 7
Entry from the Open Quantum Materials Database: Li4Al2InAu after structural relaxation (GGA-PBE).

abc: 4.459 4.459 6.416
angles: 90.00 90.00 90.00
Fractional positions:
Li 0.000 0.000 0.000
Li 0.000 0.500 0.735
Li 0.500 0.000 0.265
Li 0.500 0.500 0.500
Al 0.000 0.500 0.273
Al 0.500 0.000 0.727
In 0.500 0.500 0.000
Au 0.000 0.000 0.500

Computed properties:
DFT total energy (eV per cell): -24.21


No. 8
Entry from the Open Quantum Materials Database: Li2Mg2AlInAu2 after structural relaxation (GGA-PBE).

abc: 4.591 4.591 6.521
angles: 90.00 90.00 90.00
Fractional positions:
Li 0.000 0.500 0.239
Li 0.500 0.000 0.761
Mg 0.000 0.000 0.000
Mg 0.500 0.500 0.500
Al 0.500 0.500 0.000
In 0.000 0.000 0.500
Au 0.000 0.500 0.773
Au 0.500 0.000 0.227

Computed properties:
DFT total energy (eV per cell): -23.73


No. 9
Entry from the Open Quantum Materials Database: Li2Sc2AlInAu2 after structural relaxation (GGA-PBE).

abc: 4.614 4.614 6.548
angles: 90.00 90.00 90.00
Fractional positions:
Li 0.000 0.500 0.242
Li 0.500 0.000 0.758
Sc 0.000 0.000 0.500
Sc 0.500 0.500 0.000
Al 0.000 0.000 0.000
In 0.500 0.500 0.500
Au 0.000 0.500 0.766
Au 0.500 0.000 0.234

Computed properties:
DFT total energy (eV per cell): -34.51


No. 10
Entry from the Open Quantum Materials Database: Li2Y2AlInAu2 after structural relaxation (GGA-PBE).

abc: 4.785 4.785 6.775
angles: 90.00 90.00 90.00
Fractional positions:
Li 0.000 0.500 0.242
Li 0.500 0.000 0.758
Y 0.000 0.000 0.500
Y 0.500 0.500 0.000
Al 0.000 0.000 0.000
In 0.500 0.500 0.500
Au 0.000 0.500 0.765
Au 0.500 0.000 0.235

Computed properties:
DFT total energy (eV per cell): -34.79


No. 11
Entry from the Open Quantum Materials Database: Li2AlZn2InAu2 after structural relaxation (GGA-PBE).

abc: 4.488 4.488 6.383
angles: 90.00 90.00 90.00
Fractional positions:
Li 0.000 0.500 0.239
Li 0.500 0.000 0.761
Al 0.500 0.500 0.000
Zn 0.000 0.000 0.000
Zn 0.500 0.500 0.500
In 0.000 0.000 0.500
Au 0.000 0.500 0.774
Au 0.500 0.000 0.226

Computed properties:
DFT total energy (eV per cell): -22.20


No. 12
Entry from the Open Quantum Materials Database: NaAlInAu after structural relaxation (GGA-PBE).

abc: 4.829 4.829 4.829
angles: 60.00 60.00 60.00
Fractional positions:
Na 0.000 0.000 0.000
Al 0.750 0.750 0.750
In 0.250 0.250 0.250
Au 0.500 0.500 0.500

Computed properties:
Polymorph energy (0 for the lowest one) (eV/atom): 0.018


No. 13
Entry from the Open Quantum Materials Database: NaAlInAu after structural relaxation (GGA-PBE).

abc: 4.899 4.899 4.899
angles: 60.00 60.00 60.00
Fractional positions:
Na 0.000 0.000 0.000
Al 0.250 0.250 0.250
In 0.500 0.500 0.500
Au 0.750 0.750 0.750

Computed properties:
Polymorph energy (0 for the lowest one) (eV/atom): 0.058


No. 14
Entry from the Open Quantum Materials Database: NaAlInAu after structural relaxation (GGA-PBE).

abc: 4.855 4.855 4.855
angles: 60.00 60.00 60.00
Fractional positions:
Na 0.000 0.000 0.000
Al 0.500 0.500 0.500
In 0.250 0.250 0.250
Au 0.750 0.750 0.750

Computed properties:
Polymorph energy (0 for the lowest one) (eV/atom): 0.000


No. 15
Entry from the Open Quantum Materials Database: Na2Sc2AlInAu2 after structural relaxation (GGA-PBE).

abc: 4.757 4.757 6.757
angles: 90.00 90.00 90.00
Fractional positions:
Na 0.000 0.500 0.243
Na 0.500 0.000 0.757
Sc 0.000 0.000 0.500
Sc 0.500 0.500 0.000
Al 0.000 0.000 0.000
In 0.500 0.500 0.500
Au 0.000 0.500 0.766
Au 0.500 0.000 0.234

Computed properties:
DFT total energy (eV per cell): -31.25


No. 16
Entry from the Open Quantum Materials Database: Na2Y2AlInAu2 after structural relaxation (GGA-PBE).

abc: 4.915 4.915 6.963
angles: 90.00 90.00 90.00
Fractional positions:
Na 0.000 0.500 0.243
Na 0.500 0.000 0.757
Y 0.000 0.000 0.500
Y 0.500 0.500 0.000
Al 0.000 0.000 0.000
In 0.500 0.500 0.500
Au 0.000 0.500 0.764
Au 0.500 0.000 0.236

Computed properties:
DFT total energy (eV per cell): -31.89


No. 17
Entry from the Open Quantum Materials Database: Zr2AlInPd2Au2 after structural relaxation (GGA-PBE).

abc: 4.689 4.689 6.659
angles: 90.00 90.00 90.00
Fractional positions:
Zr 0.000 0.000 0.000
Zr 0.500 0.500 0.500
Al 0.000 0.000 0.500
In 0.500 0.500 0.000
Pd 0.000 0.500 0.731
Pd 0.500 0.000 0.269
Au 0.000 0.500 0.262
Au 0.500 0.000 0.738

Computed properties:
DFT total energy (eV per cell): -45.52


No. 18
Entry from the Open Quantum Materials Database: RbAlInAu after structural relaxation (GGA-PBE).

abc: 5.313 5.313 5.313
angles: 60.00 60.00 60.00
Fractional positions:
Rb 0.000 0.000 0.000
Al 0.500 0.500 0.500
In 0.250 0.250 0.250
Au 0.750 0.750 0.750

Computed properties:
Polymorph energy (0 for the lowest one) (eV/atom): 0.000


No. 19
Entry from the Open Quantum Materials Database: RbAlInAu after structural relaxation (GGA-PBE).

abc: 5.314 5.314 5.314
angles: 60.00 60.00 60.00
Fractional positions:
Rb 0.000 0.000 0.000
Al 0.250 0.250 0.250
In 0.500 0.500 0.500
Au 0.750 0.750 0.750

Computed properties:
Polymorph energy (0 for the lowest one) (eV/atom): 0.005


No. 20
Entry from the Open Quantum Materials Database: RbAlInAu after structural relaxation (GGA-PBE).

abc: 5.212 5.212 5.212
angles: 60.00 60.00 60.00
Fractional positions:
Rb 0.000 0.000 0.000
Al 0.750 0.750 0.750
In 0.250 0.250 0.250
Au 0.500 0.500 0.500

Computed properties:
Polymorph energy (0 for the lowest one) (eV/atom): 0.022


| no. | calculated volume (Å³ per atom) | mass density (kg/m3) |
| --- | --- | --- |
| 1 | 19.5 | 11670 |
| 2 | 23.5 | 11801 |
| 3 | 23.0 | 9195 |
| 4 | 19.9 | 8189 |
| 5 | 19.9 | 9395 |
| 6 | 16.8 | 11650 |
| 7 | 15.9 | 5122 |
| 8 | 17.2 | 7227 |
| 9 | 17.4 | 7618 |
| 10 | 19.4 | 7786 |
| 11 | 16.1 | 8787 |
| 12 | 19.9 | 7545 |
| 13 | 20.8 | 7226 |
| 14 | 20.2 | 7422 |
| 15 | 19.1 | 7293 |
| 16 | 21.0 | 7499 |
| 17 | 18.3 | 10557 |
| 18 | 26.5 | 6642 |
| 19 | 26.5 | 6638 |
| 20 | 25.0 | 7037 |